(1)
A plane-wave DFT calculation with GGA-PBE was carried out for a geometry-optimized Re2SeI2 structure.

The structure belongs to space group P4/mbm (No. 127); the cell edges are 6.695, 6.695 and 5.299 Å and the angles 90.00°, 90.00° and 90.00°. The inequivalent atoms are Re at (0.123, 0.377, 0.000), Se at (0.000, 0.000, 0.000) and I at (0.191, 0.309, 0.500).

The calculation puts the energy relative to the elements, uncorrected at 0.83 eV per atom. Its total magnetization is 0.000 Bohr magnetons per cell.



(2)
A plane-wave DFT calculation with GGA-PBE was carried out for a geometry-optimized KLiTa2 structure.

The structure belongs to space group Pmmm (No. 47); the cell edges are 2.929, 4.906 and 6.145 Å and the angles 90.00°, 90.00° and 90.00°. The inequivalent atoms are K at (0.000, 0.000, 0.000), Li at (0.500, 0.500, 0.000), Ta at (0.000, 0.500, 0.500) and Ta at (0.500, 0.000, 0.500).

Its total magnetization is 0.000 Bohr magnetons per cell. The total DFT energy (no corrections) is -5.732 eV/atom.